Material: MnTlGeO4
Method: DFT, PBE+U
State: optimized geometry

Cell: 5.353 5.581 9.243 Å, 90.00 123.88 90.00°
Fractional coordinates of all 14 atoms:
O 0.644 0.250 0.761
O 0.524 0.750 0.562
O 0.356 0.750 0.239
O 0.943 0.988 0.343
O 0.057 0.012 0.657
O 0.057 0.488 0.657
O 0.476 0.250 0.438
O 0.943 0.512 0.343
Mn 0.234 0.250 0.535
Mn 0.766 0.750 0.465
Tl 0.575 0.750 0.859
Tl 0.425 0.250 0.141
Ge 0.170 0.750 0.349
Ge 0.830 0.250 0.651

Raw total energy: -87.0 eV/cell